1.
DFT (PBE) results for a geometry-optimized NaAs2S3 structure.

a = 7.350 Å, b = 7.351 Å, c = 7.577 Å
α = 95.25°, β = 95.35°, γ = 109.73°
Element x y z (fractional)
Na 0.000 0.000 0.000
Na 0.315 0.685 0.000
As 0.432 0.116 0.375
As 0.750 0.647 0.404
As 0.757 0.442 0.902
As 0.962 0.435 0.405
S 0.405 0.090 0.084
S 0.470 0.439 0.469
S 0.702 0.677 0.097
S 0.754 0.155 0.470
S 0.971 0.656 0.761
S 0.992 0.387 0.098

## Properties
Energy relative to the elements, uncorrected: -0.391 eV per atom
D(E_F): 0.000 states/eV per atom
Energy above the lowest structure with this stoichiometry: 0 meV/atom

---

2.
DFT (PBE) results for a geometry-optimized BaCuPt3 structure.

a = 5.412 Å, b = 5.412 Å, c = 5.412 Å
α = 90.00°, β = 90.00°, γ = 90.00°
Element x y z (fractional)
Ba 0.000 0.000 0.000
Cu 0.500 0.500 0.500
Pt 0.000 0.000 0.500
Pt 0.000 0.500 0.000
Pt 0.500 0.000 0.000

## Properties
DFT formation energy: 1.887 eV per atom
D(E_F): 1.912 states/eV per atom
Energy above the lowest structure with this stoichiometry: 1850 meV/atom

---

3.
DFT (PBE) results for a geometry-optimized LiSbPbS3 structure.

a = 8.421 Å, b = 4.003 Å, c = 8.583 Å
α = 90.00°, β = 101.78°, γ = 90.00°
Element x y z (fractional)
Li 0.082 0.250 0.087
Li 0.918 0.750 0.913
Sb 0.323 0.750 0.332
Sb 0.677 0.250 0.668
Pb 0.212 0.250 0.736
Pb 0.788 0.750 0.264
S 0.119 0.250 0.374
S 0.209 0.750 0.021
S 0.433 0.750 0.677
S 0.567 0.250 0.323
S 0.791 0.250 0.979
S 0.881 0.750 0.626

## Properties
Energy relative to the elements, uncorrected: -0.565 eV per atom

---

4.
DFT (PBE) results for a geometry-optimized Sm2ScGe3Ir4 structure.

a = 4.147 Å, b = 4.147 Å, c = 11.037 Å
α = 90.00°, β = 90.00°, γ = 90.00°
Element x y z (fractional)
Sm 0.000 0.500 0.235
Sm 0.500 0.000 0.765
Sc 0.000 0.000 0.500
Ge 0.000 0.500 0.874
Ge 0.500 0.000 0.126
Ge 0.500 0.500 0.500
Ir 0.000 0.000 0.000
Ir 0.000 0.500 0.651
Ir 0.500 0.000 0.349
Ir 0.500 0.500 0.000

## Properties
DFT formation energy: -0.839 eV per atom
D(E_F): 0.476 states/eV per atom

---

5.
DFT (PBE) results for a geometry-optimized Tm12GaPd6 structure.

a = 8.268 Å, b = 8.268 Å, c = 8.268 Å
α = 102.34°, β = 102.34°, γ = 102.34°
Element x y z (fractional)
Tm 0.063 0.674 0.927
Tm 0.073 0.937 0.326
Tm 0.171 0.411 0.562
Tm 0.326 0.073 0.937
Tm 0.411 0.562 0.171
Tm 0.438 0.829 0.589
Tm 0.562 0.171 0.411
Tm 0.589 0.438 0.829
Tm 0.674 0.927 0.063
Tm 0.829 0.589 0.438
Tm 0.927 0.063 0.674
Tm 0.937 0.326 0.073
Ga 0.000 0.000 0.000
Pd 0.141 0.620 0.318
Pd 0.318 0.141 0.620
Pd 0.380 0.682 0.859
Pd 0.620 0.318 0.141
Pd 0.682 0.859 0.380
Pd 0.859 0.380 0.682

## Properties
DFT formation energy: -0.500 eV per atom
D(E_F): 0.922 states/eV per atom

---

6.
DFT (PBE) results for a geometry-optimized AgC3I structure.

a = 4.306 Å, b = 4.306 Å, c = 4.306 Å
α = 90.00°, β = 90.00°, γ = 90.00°
Element x y z (fractional)
Ag 0.000 0.000 0.000
C 0.000 0.000 0.500
C 0.000 0.500 0.000
C 0.500 0.000 0.000
I 0.500 0.500 0.500

## Properties
Energy relative to the elements, uncorrected: 3.256 eV per atom
D(E_F): 0.674 states/eV per atom
Energy above the lowest structure with this stoichiometry: 0 meV/atom

---

7.
DFT (PBE) results for a geometry-optimized TbDy6Tm8 structure.

a = 8.519 Å, b = 8.519 Å, c = 8.519 Å
α = 63.18°, β = 63.18°, γ = 63.18°
Element x y z (fractional)
Tb 0.000 0.000 0.000
Dy 0.112 0.223 0.540
Dy 0.223 0.540 0.112
Dy 0.460 0.888 0.777
Dy 0.540 0.112 0.223
Dy 0.777 0.460 0.888
Dy 0.888 0.777 0.460
Tm 0.110 0.742 0.721
Tm 0.258 0.279 0.890
Tm 0.279 0.890 0.258
Tm 0.424 0.424 0.424
Tm 0.576 0.576 0.576
Tm 0.721 0.110 0.742
Tm 0.742 0.721 0.110
Tm 0.890 0.258 0.279

## Properties
DFT formation energy: 0.132 eV per atom
D(E_F): 1.467 states/eV per atom

---

8.
DFT (PBE) results for a geometry-optimized Ta2Ni2I structure.

a = 6.669 Å, b = 6.669 Å, c = 3.689 Å
α = 90.00°, β = 90.00°, γ = 90.00°
Element x y z (fractional)
Ta 0.158 0.342 0.000
Ta 0.342 0.842 0.000
Ta 0.658 0.158 0.000
Ta 0.842 0.658 0.000
Ni 0.126 0.626 0.500
Ni 0.374 0.126 0.500
Ni 0.626 0.874 0.500
Ni 0.874 0.374 0.500
I 0.000 0.000 0.500
I 0.500 0.500 0.500

## Properties
Energy relative to the elements, uncorrected: 0.462 eV per atom
D(E_F): 1.720 states/eV per atom
Energy above the lowest structure with this stoichiometry: 0 meV/atom

---

9.
DFT (PBE) results for a geometry-optimized CaLa2S2Br2 structure.

a = 8.600 Å, b = 8.600 Å, c = 8.600 Å
α = 144.51°, β = 144.51°, γ = 51.07°
Element x y z (fractional)
Ca 0.000 0.000 0.000
La 0.397 0.397 0.000
La 0.603 0.603 0.000
S 0.000 0.500 0.500
S 0.500 0.000 0.500
Br 0.191 0.191 0.000
Br 0.809 0.809 0.000

## Properties
Energy relative to the elements, uncorrected: -1.677 eV per atom
D(E_F): 0.404 states/eV per atom

---

10.
DFT (PBE) results for a geometry-optimized Sr2BeVN4 structure.

a = 5.571 Å, b = 6.845 Å, c = 5.966 Å
α = 90.00°, β = 90.00°, γ = 90.00°
Element x y z (fractional)
Sr 0.250 0.000 0.247
Sr 0.250 0.500 0.247
Sr 0.750 0.000 0.753
Sr 0.750 0.500 0.753
Be 0.250 0.250 0.674
Be 0.750 0.750 0.326
V 0.250 0.750 0.678
V 0.750 0.250 0.322
N 0.005 0.250 0.504
N 0.250 0.506 0.816
N 0.250 0.994 0.816
N 0.495 0.250 0.504
N 0.505 0.750 0.496
N 0.750 0.006 0.184
N 0.750 0.494 0.184
N 0.995 0.750 0.496

## Properties
Energy relative to the elements, uncorrected: -0.814 eV per atom
D(E_F): 0.413 states/eV per atom

---

11.
DFT (PBE) results for a geometry-optimized MgGaGe2 structure.

a = 5.889 Å, b = 5.889 Å, c = 5.889 Å
α = 42.29°, β = 42.29°, γ = 42.29°
Element x y z (fractional)
Mg 0.000 0.000 0.000
Ga 0.179 0.179 0.179
Ge 0.590 0.590 0.590
Ge 0.754 0.754 0.754

## Properties
DFT formation energy: 0.055 eV per atom
D(E_F): 0.348 states/eV per atom
Energy above the lowest structure with this stoichiometry: 31 meV/atom

---

12.
DFT (PBE) results for a geometry-optimized Li2Hg2SbO6 structure.

a = 5.509 Å, b = 5.509 Å, c = 6.104 Å
α = 107.17°, β = 107.17°, γ = 104.59°
Element x y z (fractional)
Li 0.151 0.849 0.000
Li 0.849 0.151 0.000
Hg 0.316 0.684 0.500
Hg 0.684 0.316 0.500
Sb 0.500 0.500 0.000
O 0.188 0.539 0.745
O 0.241 0.241 0.065
O 0.461 0.812 0.255
O 0.539 0.188 0.745
O 0.759 0.759 0.935
O 0.812 0.461 0.255

## Properties
Energy relative to the elements, uncorrected: -1.076 eV per atom
D(E_F): 0.518 states/eV per atom

---

Number 1: calculated volume 31.70 Å³/atom, spin magnetization 0.0 Bohr magnetons per cell. Number 2: calculated volume 31.69 Å³/atom, spin magnetization 0.0 Bohr magnetons per cell. Number 3: calculated volume 23.60 Å³/atom, spin magnetization 0.0 Bohr magnetons per cell. Number 4: calculated volume 18.98 Å³/atom, spin magnetization 0.0 Bohr magnetons per cell. Number 5: calculated volume 27.32 Å³/atom, spin magnetization 0.0 Bohr magnetons per cell. Number 6: calculated volume 15.97 Å³/atom, spin magnetization 2.8 Bohr magnetons per cell. Number 7: calculated volume 31.20 Å³/atom, spin magnetization 0.0 Bohr magnetons per cell. Number 8: calculated volume 16.41 Å³/atom, spin magnetization 0.0 Bohr magnetons per cell. Number 9: calculated volume 30.46 Å³/atom, spin magnetization 1.5 Bohr magnetons per cell. Number 10: calculated volume 14.22 Å³/atom, spin magnetization 1.7 Bohr magnetons per cell. Number 11: calculated volume 20.93 Å³/atom, spin magnetization 0.0 Bohr magnetons per cell. Number 12: calculated volume 14.27 Å³/atom, spin magnetization 0.3 Bohr magnetons per cell.